(1)
{
  "formula": "LiMo2Rh",
  "functional": "PBE",
  "state": "relaxed",
  "cell": [[2.564, -4.375, 0.000], [2.564, 4.375, 0.000], [-0.668, 0.000, 2.603]],
  "species": ["Li", "Mo", "Mo", "Rh"],
  "fractional_positions": [[0.000, 0.000, 0.000], [0.000, 0.500, 0.500], [0.500, 0.000, 0.500], [0.500, 0.500, 0.000]],
  "final_energy_ev_per_cell": -30.39,
  "polymorph_energy_mev_per_atom": 81
}

=====

(2)
{
  "formula": "LiMoRh2",
  "functional": "PBE",
  "state": "relaxed",
  "cell": [[-3.373, 3.373, 2.767], [3.373, -3.373, 2.767], [3.373, 3.373, -2.767]],
  "species": ["Li", "Li", "Mo", "Mo", "Rh", "Rh", "Rh", "Rh"],
  "fractional_positions": [[0.000, 0.000, 0.000], [0.750, 0.250, 0.500], [0.250, 0.750, 0.500], [0.500, 0.500, 0.000], [0.140, 0.625, 0.015], [0.375, 0.390, 0.515], [0.610, 0.125, 0.985], [0.875, 0.860, 0.485]],
  "final_energy_ev_per_cell": -52.43,
  "polymorph_energy_mev_per_atom": 501
}

=====

(3)
{
  "formula": "LiMoRh2",
  "functional": "PBE",
  "state": "relaxed",
  "cell": [[1.426, -2.255, 0.000], [1.426, 2.255, 0.000], [0.000, 0.000, 9.219]],
  "species": ["Li", "Mo", "Rh", "Rh"],
  "fractional_positions": [[0.000, 0.000, 0.000], [0.500, 0.500, 0.727], [0.000, 0.000, 0.488], [0.500, 0.500, 0.232]],
  "final_energy_ev_per_cell": -26.85,
  "polymorph_energy_mev_per_atom": 342
}

=====

(4)
{
  "formula": "LiMo2Rh2",
  "functional": "PBE",
  "state": "relaxed",
  "cell": [[7.631, 0.000, 0.000], [0.000, 7.631, 0.000], [0.000, 0.000, 2.761]],
  "species": ["Li", "Li", "Mo", "Mo", "Mo", "Mo", "Rh", "Rh", "Rh", "Rh"],
  "fractional_positions": [[0.000, 0.000, 0.000], [0.500, 0.500, 0.000], [0.165, 0.335, 0.500], [0.335, 0.835, 0.500], [0.665, 0.165, 0.500], [0.835, 0.665, 0.500], [0.129, 0.629, 0.000], [0.371, 0.129, 0.000], [0.629, 0.871, 0.000], [0.871, 0.371, 0.000]],
  "final_energy_ev_per_cell": -76.01,
  "polymorph_energy_mev_per_atom": 38
}

=====

(5)
{
  "formula": "LiMoRh2",
  "functional": "PBE",
  "state": "relaxed",
  "cell": [[-1.833, 1.833, 4.131], [1.833, -1.833, 4.131], [1.833, 1.833, -4.131]],
  "species": ["Li", "Mo", "Rh", "Rh"],
  "fractional_positions": [[0.000, 0.000, 0.000], [0.250, 0.750, 0.500], [0.500, 0.500, 0.000], [0.750, 0.250, 0.500]],
  "final_energy_ev_per_cell": -27.69,
  "polymorph_energy_mev_per_atom": 131
}

=====

(6)
{
  "formula": "LiMo2Rh",
  "functional": "PBE",
  "state": "relaxed",
  "cell": [[2.694, 0.000, 0.000], [0.000, 3.911, 0.000], [0.000, 0.000, 5.525]],
  "species": ["Li", "Mo", "Mo", "Rh"],
  "fractional_positions": [[0.000, 0.000, 0.000], [0.000, 0.000, 0.518], [0.500, 0.500, 0.247], [0.500, 0.500, 0.783]],
  "final_energy_ev_per_cell": -30.30,
  "polymorph_energy_mev_per_atom": 105
}